[1]
8
Lattice="-3.005 2.607 0.020 -1.386 -1.628 3.923 5.055 5.795 4.191" Properties=species:S:1:pos:R:3 comment="GGA-PBE AgAs, optimized geometry" vol_a3_per_cell=156 delta_e_f_ev_per_fu=0.4 dft_energy_ev_per_atom=-3.53 e_above_lowest_polymorph_mev_per_atom=110 crystal_system=orthorhombic pbc="T T T"
Ag 0.205 1.461 1.950
Ag -1.793 2.177 4.086
Ag 2.457 4.597 4.048
Ag 0.459 5.313 6.183
As 2.588 7.161 5.158
As 0.935 2.222 5.069
As -0.271 4.552 3.065
As -1.924 -0.387 2.975

[2]
16
Lattice="-1.230 -7.745 7.136 -5.841 -5.476 -6.950 3.020 -1.633 -1.252" Properties=species:S:1:pos:R:3 comment="GGA-PBE AgAs, optimized geometry" vol_a3_per_cell=411 delta_e_f_ev_per_fu=0.4 dft_energy_ev_per_atom=-3.55 e_above_lowest_polymorph_mev_per_atom=90 crystal_system=tetragonal pbc="T T T"
Ag -5.866 -6.713 -5.397
Ag -1.205 -6.508 5.583
Ag -1.118 -1.275 -1.033
Ag -5.954 -11.946 1.218
Ag -2.050 -8.664 1.020
Ag -2.000 -6.190 -2.086
Ag -3.143 -8.702 -1.567
Ag -0.908 -6.152 0.500
As -1.430 -3.305 0.861
As -5.641 -9.916 -0.676
As -2.747 -7.967 3.766
As -4.325 -5.254 -3.580
As -3.455 -10.731 0.327
As -0.596 -4.122 -1.394
As -3.542 -7.649 -3.903
As -0.509 -7.205 2.837

[3]
4
Lattice="4.505 0.000 -0.072 0.000 3.750 0.000 -1.916 0.000 4.918" Properties=species:S:1:pos:R:3 comment="GGA-PBE AgAs, optimized geometry" vol_a3_per_cell=83 delta_e_f_ev_per_fu=0.3 dft_energy_ev_per_atom=-3.62 e_above_lowest_polymorph_mev_per_atom=20 crystal_system=monoclinic pbc="T T T"
As 1.758 0.937 4.650
As 0.831 2.812 0.195
Ag 2.381 0.937 2.042
Ag 0.207 2.812 2.803

[4]
4
Lattice="3.624 0.000 0.000 0.000 4.228 0.000 0.000 0.000 5.434" Properties=species:S:1:pos:R:3 comment="GGA-PBE AgAs3, optimized geometry" vol_a3_per_cell=83 delta_e_f_ev_per_fu=0.5 dft_energy_ev_per_atom=-4.07 e_above_lowest_polymorph_mev_per_atom=1 crystal_system=orthorhombic pbc="T T T"
As 1.812 1.440 0.000
As 1.812 1.573 2.717
As 0.000 3.271 2.717
Ag 0.000 3.582 0.000

[5]
4
Lattice="5.258 0.012 0.000 1.921 4.894 0.000 -3.590 -2.453 2.957" Properties=species:S:1:pos:R:3 comment="GGA-PBE AgAs, optimized geometry" vol_a3_per_cell=76 delta_e_f_ev_per_fu=0.5 dft_energy_ev_per_atom=-3.51 e_above_lowest_polymorph_mev_per_atom=134 crystal_system=tetragonal pbc="T T T"
As 3.590 2.453 0.000
As 2.629 0.006 1.478
Ag 0.000 0.000 0.000
Ag 0.961 2.447 1.478

[6]
7
Lattice="6.401 0.000 0.000 -2.134 6.035 0.000 -2.134 -3.018 5.227" Properties=species:S:1:pos:R:3 comment="GGA-PBE Ag6As, optimized geometry" vol_a3_per_cell=202 delta_e_f_ev_per_fu=6.8 dft_energy_ev_per_atom=-2.14 crystal_system=cubic pbc="T T T"
Ag -1.067 3.018 2.613
Ag 1.067 3.772 1.307
Ag -1.067 0.754 3.920
Ag 3.201 0.000 2.613
Ag 1.067 -0.754 3.920
Ag 3.201 2.263 1.307
As 0.000 0.000 0.000

[7]
9
Lattice="-2.621 6.279 -1.300 -2.040 -3.511 5.612 3.109 1.760 2.231" Properties=species:S:1:pos:R:3 comment="GGA-PBE Ag2As, optimized geometry" vol_a3_per_cell=175 delta_e_f_ev_per_fu=0.6 dft_energy_ev_per_atom=-3.26 e_above_lowest_polymorph_mev_per_atom=71 crystal_system=hexagonal pbc="T T T"
Ag -0.663 1.588 -0.329
Ag -0.516 -0.888 1.420
Ag -3.483 2.068 3.222
Ag -0.001 4.606 0.344
Ag 0.344 -1.204 4.446
Ag -0.341 2.005 2.869
As -2.234 -0.248 3.308
As -2.428 3.016 1.004
As 1.555 0.880 1.116

[8]
6
Lattice="0.000 3.892 3.892 3.892 0.000 3.892 3.892 3.892 0.000" Properties=species:S:1:pos:R:3 comment="GGA-PBE Ag2As, optimized geometry" vol_a3_per_cell=118 delta_e_f_ev_per_fu=1.1 dft_energy_ev_per_atom=-3.10 e_above_lowest_polymorph_mev_per_atom=236 crystal_system=cubic pbc="T T T"
Ag 0.973 2.919 2.919
Ag 2.919 0.973 2.919
Ag 2.919 2.919 0.973
Ag 0.973 0.973 0.973
As 3.892 3.892 3.892
As 5.838 5.838 5.838

[9]
18
Lattice="8.549 0.000 0.000 -4.275 7.404 0.000 0.000 0.000 5.483" Properties=species:S:1:pos:R:3 comment="GGA-PBE Ag5As4, optimized geometry" vol_a3_per_cell=347 delta_e_f_ev_per_fu=2.1 dft_energy_ev_per_atom=-3.41 e_above_lowest_polymorph_mev_per_atom=43 crystal_system=hexagonal pbc="T T T"
As 0.000 0.000 0.000
As 0.000 0.000 2.742
As -1.706 2.955 1.371
As 2.569 4.449 1.371
As 3.412 0.000 1.371
As -2.569 4.449 4.112
As 1.706 2.955 4.112
As 5.137 0.000 4.112
Ag -3.027 5.243 1.371
Ag 1.247 2.160 1.371
Ag 6.054 0.000 1.371
Ag -1.247 2.160 4.112
Ag 3.027 5.243 4.112
Ag 2.495 0.000 4.112
Ag 4.275 2.468 0.000
Ag 0.000 4.936 2.742
Ag 0.000 4.936 0.000
Ag 4.275 2.468 2.742

[10]
6
Lattice="-7.852 -6.116 3.918 -10.230 -2.972 0.959 9.666 2.578 -3.786" Properties=species:S:1:pos:R:3 comment="GGA-PBE Ag2As, optimized geometry" vol_a3_per_cell=120 delta_e_f_ev_per_fu=0.7 dft_energy_ev_per_atom=-3.20 e_above_lowest_polymorph_mev_per_atom=129 crystal_system=orthorhombic pbc="T T T"
Ag -8.009 -5.194 0.826
Ag -0.407 -1.317 0.265
Ag -5.406 -3.885 0.124
Ag -3.010 -2.625 0.967
As 2.320 -0.002 -1.960
As -10.735 -6.508 3.051

[11]
6
Lattice="6.674 0.004 0.000 -5.365 3.969 0.000 0.000 0.000 4.095" Properties=species:S:1:pos:R:3 comment="GGA-PBE Ag5As, optimized geometry" vol_a3_per_cell=109 delta_e_f_ev_per_fu=0.4 dft_energy_ev_per_atom=-3.08 e_above_lowest_polymorph_mev_per_atom=4 crystal_system=orthorhombic pbc="T T T"
Ag 4.325 0.778 2.048
Ag 2.330 1.434 0.000
Ag 0.320 2.097 2.048
Ag -1.691 2.759 0.000
Ag -3.685 3.415 2.048
As 6.339 0.114 0.000

[12]
3
Lattice="0.000 3.149 3.149 3.149 0.000 3.149 3.149 3.149 0.000" Properties=species:S:1:pos:R:3 comment="GGA-PBE Ag2As, optimized geometry" vol_a3_per_cell=62 delta_e_f_ev_per_fu=0.4 dft_energy_ev_per_atom=-3.31 e_above_lowest_polymorph_mev_per_atom=24 crystal_system=cubic pbc="T T T"
Ag 4.723 4.723 4.723
Ag 1.574 1.574 1.574
As 0.000 0.000 0.000